1.
A plane-wave DFT calculation with GGA-PBE was carried out for an optimized crystal structure of Fe5Pd. Values from VASP.

```
&SYSTEM
  ibrav = 0, nat = 6, ntyp = 2
/
ATOMIC_SPECIES
Fe 55.84 Fe.upf
Pd 106.42 Pd.upf
ATOMIC_POSITIONS crystal
Fe 0.000 0.000 0.000
Fe 0.173 0.827 0.500
Fe 0.332 0.668 0.000
Fe 0.668 0.332 0.000
Fe 0.827 0.173 0.500
Pd 0.500 0.500 0.500
CELL_PARAMETERS angstrom
1.470 -6.168 0.000
1.470 6.168 0.000
0.000 0.000 4.167
```

Results
DFT formation energy (eV/atom): 0.05
Space-group type: Cmmm, No. 65
Calculated volume (A^3/atom): 12.60

***

2.
A plane-wave DFT calculation with GGA-PBE was carried out for an optimized crystal structure of UMnFeSi3. Values from VASP.

```
&SYSTEM
  ibrav = 0, nat = 12, ntyp = 4
/
ATOMIC_SPECIES
U 238.03 U.upf
Mn 54.94 Mn.upf
Fe 55.84 Fe.upf
Si 28.09 Si.upf
ATOMIC_POSITIONS crystal
U 0.248 0.752 0.750
U 0.752 0.248 0.250
Mn 0.036 0.964 0.250
Mn 0.964 0.036 0.750
Fe 0.469 0.531 0.250
Fe 0.531 0.469 0.750
Si 0.250 0.250 0.000
Si 0.250 0.250 0.500
Si 0.253 0.747 0.250
Si 0.747 0.253 0.750
Si 0.750 0.750 0.000
Si 0.750 0.750 0.500
CELL_PARAMETERS angstrom
3.574 -4.939 0.000
3.574 4.939 0.000
0.000 0.000 5.485
```

Results
Space-group type: Cmcm, No. 63
Formation energy without anion corrections (eV/atom): -0.11
Calculated volume (A^3/atom): 16.14

***

3.
A plane-wave DFT calculation with GGA-PBE was carried out for an optimized crystal structure of Tl2AsOs. Values from VASP.

```
&SYSTEM
  ibrav = 0, nat = 4, ntyp = 3
/
ATOMIC_SPECIES
Tl 204.38 Tl.upf
As 74.92 As.upf
Os 190.23 Os.upf
ATOMIC_POSITIONS crystal
Tl 0.000 0.000 0.000
Tl 0.352 0.500 0.680
As 0.651 0.500 0.296
Os 0.751 0.000 0.477
CELL_PARAMETERS angstrom
3.238 0.000 0.000
0.000 3.706 0.000
-1.606 0.000 7.997
```

Results
DFT formation energy (eV/atom): 0.47
Space-group type: Pm, No. 6
Calculated volume (A^3/atom): 23.99
Excess energy over the best structure of this formula in the dataset (kJ/mol of atoms): 20.9

***

no.,D(E_F) (states/eV/cell)
1,4.34
2,11.96
3,1.86